Below is a relaxed structure of PuCr2O6, with properties calculated at the PBE with a Hubbard U level.

Unit cell a=9.0359 b=9.0359 c=4.5772 alpha=90.00 beta=90.00 gamma=120.00
Last column: nearest neighbours and their distance in Å.
Fractional positions:
Pu 0.0000 0.0000 0.0000  6 O 2.06
Pu 0.3333 0.6667 0.4979  6 O 2.12-2.14
Pu 0.6667 0.3333 0.5021  6 O 2.12-2.14
Cr 0.0000 0.3418 0.0000  6 O 1.98-2.04
Cr 0.0000 0.6582 0.0000  6 O 1.98-2.04
Cr 0.3418 0.0000 0.0000  6 O 1.98-2.04
Cr 0.3418 0.3418 0.0000  6 O 1.98-2.04
Cr 0.6582 0.0000 0.0000  6 O 1.98-2.04
Cr 0.6582 0.6582 0.0000  6 O 1.98-2.04
O 0.1079 0.5539 0.7639  2 Cr 1.98, 1 Pu 2.14
O 0.1163 0.2326 0.7891  2 Cr 2.01, 1 Pu 2.06
O 0.1163 0.8837 0.7891  2 Cr 2.01, 1 Pu 2.06
O 0.2217 0.4435 0.2335  2 Cr 2.04, 1 Pu 2.12
O 0.2217 0.7783 0.2335  2 Cr 2.04, 1 Pu 2.12
O 0.2326 0.1163 0.2109  2 Cr 2.01, 1 Pu 2.06
O 0.4435 0.2217 0.7665  2 Cr 2.04, 1 Pu 2.12
O 0.4461 0.5539 0.7639  2 Cr 1.98, 1 Pu 2.14
O 0.4461 0.8921 0.7639  2 Cr 1.98, 1 Pu 2.14
O 0.5539 0.1079 0.2361  2 Cr 1.98, 1 Pu 2.14
O 0.5539 0.4461 0.2361  2 Cr 1.98, 1 Pu 2.14
O 0.5565 0.7783 0.2335  2 Cr 2.04, 1 Pu 2.12
O 0.7674 0.8837 0.7891  2 Cr 2.01, 1 Pu 2.06
O 0.7783 0.2217 0.7665  2 Cr 2.04, 1 Pu 2.12
O 0.7783 0.5565 0.7665  2 Cr 2.04, 1 Pu 2.12
O 0.8837 0.1163 0.2109  2 Cr 2.01, 1 Pu 2.06
O 0.8837 0.7674 0.2109  2 Cr 2.01, 1 Pu 2.06
O 0.8921 0.4461 0.2361  2 Cr 1.98, 1 Pu 2.14

Results
E (eV/atom): -8.701
Fermi-level density of states (states/eV per cell): 13.33
Size of the total moment (Bohr magnetons per cell): 24.00
Symmetry: P-3m1, No. 164